# 1
PBE PuSbAu4, optimized geometry; density of states at the Fermi level = 16.35 states/eV/cell; energy relative to the elements, uncorrected = -256 meV/atom
1.0
0.000 4.010 4.010
4.010 0.000 4.010
4.010 4.010 0.000
Pu Sb Au
1 1 4
Direct
0.000 0.000 0.000
0.750 0.750 0.750
0.375 0.375 0.375
0.375 0.375 0.876
0.375 0.876 0.375
0.876 0.375 0.375

---

# 2
PBE Pu2Sb2Au, optimized geometry; density of states at the Fermi level = 86.70 states/eV/cell; energy relative to the elements, uncorrected = -534 meV/atom
1.0
9.181 0.000 0.000
0.000 8.006 0.000
-0.006 0.000 7.510
Pu Sb Au
8 8 4
Direct
0.117 0.250 0.000
0.117 0.250 0.500
0.369 0.749 0.000
0.369 0.751 0.500
0.631 0.249 0.500
0.631 0.251 0.000
0.883 0.750 0.000
0.883 0.750 0.500
0.117 0.585 0.750
0.117 0.915 0.250
0.350 0.072 0.751
0.350 0.428 0.251
0.650 0.572 0.749
0.650 0.928 0.249
0.883 0.085 0.750
0.883 0.415 0.250
0.381 0.084 0.249
0.381 0.416 0.749
0.619 0.584 0.251
0.619 0.916 0.751

---

# 3
PBE PuSb2Au3, optimized geometry; density of states at the Fermi level = 29.91 states/eV/cell; energy relative to the elements, uncorrected = -256 meV/atom
1.0
5.622 -2.311 0.000
5.622 2.311 0.000
-3.969 0.000 11.460
Pu Sb Au
2 4 6
Direct
0.122 0.122 0.290
0.878 0.878 0.710
0.384 0.384 0.906
0.419 0.419 0.293
0.581 0.581 0.707
0.616 0.616 0.094
0.136 0.136 0.612
0.225 0.225 0.058
0.342 0.342 0.524
0.658 0.658 0.476
0.775 0.775 0.942
0.864 0.864 0.388

---

# 4
PBE PuSbAu11, optimized geometry; density of states at the Fermi level = 21.23 states/eV/cell; energy relative to the elements, uncorrected = -64 meV/atom
1.0
2.768 -6.559 0.000
2.768 6.559 0.000
-2.160 0.000 7.299
Pu Sb Au
1 1 11
Direct
0.000 0.000 0.000
0.000 0.000 0.500
0.000 0.500 0.000
0.049 0.681 0.659
0.315 0.525 0.795
0.319 0.951 0.341
0.475 0.685 0.205
0.500 0.000 0.000
0.500 0.500 0.500
0.525 0.315 0.795
0.681 0.049 0.659
0.685 0.475 0.205
0.951 0.319 0.341

---

# 5
PBE Pu2SbAu6, optimized geometry; density of states at the Fermi level = 30.72 states/eV/cell; energy relative to the elements, uncorrected = -324 meV/atom
1.0
5.613 -3.227 0.000
5.613 3.227 0.000
-0.016 0.000 5.566
Pu Sb Au
2 1 6
Direct
0.166 0.166 0.168
0.834 0.834 0.832
0.500 0.500 0.000
0.125 0.687 0.327
0.312 0.312 0.674
0.313 0.875 0.673
0.687 0.125 0.327
0.688 0.688 0.326
0.875 0.313 0.673

---

# 6
PBE Pu3Sb2Au, optimized geometry; density of states at the Fermi level = 107.91 states/eV/cell; energy relative to the elements, uncorrected = -468 meV/atom
1.0
13.056 0.000 0.000
0.000 4.551 0.000
0.000 0.000 10.909
Pu Sb Au
12 8 4
Direct
0.040 0.250 0.096
0.134 0.750 0.559
0.239 0.250 0.792
0.261 0.750 0.292
0.366 0.250 0.059
0.460 0.750 0.596
0.540 0.250 0.404
0.634 0.750 0.941
0.739 0.250 0.708
0.761 0.750 0.208
0.866 0.250 0.441
0.960 0.750 0.904
0.012 0.250 0.706
0.192 0.750 0.004
0.308 0.250 0.504
0.488 0.750 0.206
0.512 0.250 0.794
0.692 0.750 0.496
0.808 0.250 0.996
0.988 0.750 0.294
0.117 0.250 0.356
0.383 0.750 0.856
0.617 0.250 0.144
0.883 0.750 0.644

---

# 7
PBE Pu2SbAu, optimized geometry; density of states at the Fermi level = 24.53 states/eV/cell; energy relative to the elements, uncorrected = -367 meV/atom
1.0
2.224 1.284 6.895
-2.224 1.284 6.895
0.000 -2.568 6.895
Pu Sb Au
2 1 1
Direct
0.246 0.246 0.246
0.754 0.754 0.754
0.000 0.000 0.000
0.500 0.500 0.500

---

# 8
PBE PuSb2Au2, optimized geometry; density of states at the Fermi level = 21.18 states/eV/cell; energy relative to the elements, uncorrected = -377 meV/atom
1.0
2.206 -11.762 0.000
2.206 11.762 0.000
0.000 0.000 4.422
Pu Sb Au
2 4 4
Direct
0.147 0.853 0.750
0.853 0.147 0.250
0.250 0.750 0.250
0.379 0.621 0.750
0.621 0.379 0.250
0.750 0.250 0.750
0.042 0.958 0.250
0.458 0.542 0.250
0.542 0.458 0.750
0.958 0.042 0.750

---

# 9
PBE Pu3SbAu2, optimized geometry; density of states at the Fermi level = 21.43 states/eV/cell; energy relative to the elements, uncorrected = -473 meV/atom
1.0
2.406 -7.292 0.000
2.406 7.292 0.000
0.000 0.000 4.189
Pu Sb Au
3 1 2
Direct
0.000 0.000 0.000
0.329 0.671 0.000
0.671 0.329 0.000
0.500 0.500 0.500
0.167 0.833 0.500
0.833 0.167 0.500

---

# 10
PBE PuScSbAu, optimized geometry; density of states at the Fermi level = 10.82 states/eV/cell; energy relative to the elements, uncorrected = -592 meV/atom
1.0
0.000 3.619 3.619
3.619 0.000 3.619
3.619 3.619 0.000
Pu Sc Sb Au
1 1 1 1
Direct
0.000 0.000 0.000
0.500 0.500 0.500
0.750 0.750 0.750
0.250 0.250 0.250

---

# 11
PBE Pu2SiSbAu6, optimized geometry; density of states at the Fermi level = 65.28 states/eV/cell; energy relative to the elements, uncorrected = -217 meV/atom
1.0
5.768 0.000 0.000
0.000 8.465 0.000
0.000 0.000 9.552
Pu Si Sb Au
4 2 2 12
Direct
0.250 0.006 0.244
0.250 0.494 0.244
0.750 0.506 0.756
0.750 0.994 0.756
0.250 0.250 0.747
0.750 0.750 0.253
0.250 0.750 0.806
0.750 0.250 0.194
0.003 0.250 0.954
0.008 0.750 0.479
0.250 0.508 0.618
0.250 0.992 0.618
0.492 0.750 0.479
0.497 0.250 0.954
0.503 0.750 0.046
0.508 0.250 0.521
0.750 0.008 0.382
0.750 0.492 0.382
0.992 0.250 0.521
0.997 0.750 0.046

---

# 12
PBE SmPuSbAu, optimized geometry; density of states at the Fermi level = 10.59 states/eV/cell; energy relative to the elements, uncorrected = -661 meV/atom
1.0
0.000 3.745 3.745
3.745 0.000 3.745
3.745 3.745 0.000
Sm Pu Sb Au
1 1 1 1
Direct
0.000 0.000 0.000
0.500 0.500 0.500
0.750 0.750 0.750
0.250 0.250 0.250

---

# 13
PBE PuSnSb2Au2, optimized geometry; density of states at the Fermi level = 25.84 states/eV/cell; energy relative to the elements, uncorrected = -197 meV/atom
1.0
6.032 0.000 0.000
0.000 5.680 0.000
-0.678 0.000 8.700
Pu Sn Sb Au
2 2 4 4
Direct
0.082 0.250 0.317
0.918 0.750 0.683
0.141 0.750 0.038
0.859 0.250 0.962
0.123 0.250 0.683
0.400 0.750 0.534
0.600 0.250 0.466
0.877 0.750 0.317
0.491 0.506 0.831
0.491 0.994 0.831
0.509 0.006 0.169
0.509 0.494 0.169

---

# 14
PBE PuSnSbAu, optimized geometry; density of states at the Fermi level = 10.97 states/eV/cell; E above lowest polymorph = 0.00 kcal/mol of atoms; energy relative to the elements, uncorrected = -414 meV/atom
1.0
4.351 0.000 0.000
0.000 4.440 0.000
0.000 0.000 4.936
Pu Sn Sb Au
1 1 1 1
Direct
0.000 0.000 0.000
0.500 0.000 0.500
0.500 0.500 0.000
0.000 0.500 0.500

---

# 15
PBE PuSnSbAu, optimized geometry; density of states at the Fermi level = 10.78 states/eV/cell; E above lowest polymorph = 3.29 kcal/mol of atoms; energy relative to the elements, uncorrected = -271 meV/atom
1.0
0.000 3.686 3.686
3.686 0.000 3.686
3.686 3.686 0.000
Pu Sn Sb Au
1 1 1 1
Direct
0.000 0.000 0.000
0.500 0.500 0.500
0.750 0.750 0.750
0.250 0.250 0.250

---

# 16
PBE Sr2PuSb4Au3, optimized geometry; density of states at the Fermi level = 18.58 states/eV/cell; energy relative to the elements, uncorrected = -544 meV/atom
1.0
4.800 0.000 0.000
0.000 4.800 0.000
0.000 0.000 12.347
Sr Pu Sb Au
2 1 4 3
Direct
0.000 0.500 0.230
0.500 0.000 0.770
0.000 0.000 0.500
0.000 0.000 0.000
0.000 0.500 0.651
0.500 0.000 0.349
0.500 0.500 0.000
0.000 0.500 0.870
0.500 0.000 0.130
0.500 0.500 0.500

---

# 17
PBE SrPuSbAu, optimized geometry; density of states at the Fermi level = 14.05 states/eV/cell; energy relative to the elements, uncorrected = -635 meV/atom
1.0
0.000 3.847 3.847
3.847 0.000 3.847
3.847 3.847 0.000
Sr Pu Sb Au
1 1 1 1
Direct
0.000 0.000 0.000
0.500 0.500 0.500
0.750 0.750 0.750
0.250 0.250 0.250

---

# 18
PBE TbPuSbAu, optimized geometry; density of states at the Fermi level = 10.58 states/eV/cell; energy relative to the elements, uncorrected = -654 meV/atom
1.0
0.000 3.713 3.713
3.713 0.000 3.713
3.713 3.713 0.000
Tb Pu Sb Au
1 1 1 1
Direct
0.000 0.000 0.000
0.500 0.500 0.500
0.250 0.250 0.250
0.750 0.750 0.750

---

# 19
PBE PuUSbAu, optimized geometry; density of states at the Fermi level = 11.02 states/eV/cell; energy relative to the elements, uncorrected = -284 meV/atom
1.0
0.000 3.696 3.696
3.696 0.000 3.696
3.696 3.696 0.000
Pu U Sb Au
1 1 1 1
Direct
0.000 0.000 0.000
0.500 0.500 0.500
0.750 0.750 0.750
0.250 0.250 0.250

---

# 20
PBE YPuSbAu, optimized geometry; density of states at the Fermi level = 10.67 states/eV/cell; energy relative to the elements, uncorrected = -661 meV/atom
1.0
0.000 3.711 3.711
3.711 0.000 3.711
3.711 3.711 0.000
Y Pu Sb Au
1 1 1 1
Direct
0.000 0.000 0.000
0.500 0.500 0.500
0.250 0.250 0.250
0.750 0.750 0.750